1.
A plane-wave DFT calculation with PBE was carried out for a relaxed structure of MgZnHgSe2.

Properties
raw formation energy: 0.223 eV/f.u.

Cell lengths 5.1228, 5.1228, 4.9622 Å; angles 90.00, 90.00, 90.00 degrees
Closest atoms and distances in Å follow each position.
Sites, in units of the cell vectors:
Mg (0.0000, 0.0000, 0.0000)  8 Se 3.57, 4 Hg 3.62
Zn (0.5000, 0.5000, 0.5000)  2 Hg 2.48, 4 Se 2.56
Hg (0.5000, 0.5000, 0.0000)  2 Zn 2.48
Se (0.0000, 0.5000, 0.5000)  2 Zn 2.56
Se (0.5000, 0.0000, 0.5000)  2 Zn 2.56



2.
A plane-wave DFT calculation with PBE was carried out for a relaxed structure of MgAsPBr2.

Properties
distance to the lowest polymorph of the same formula: 167 meV/atom
raw formation energy: 1.819 eV/f.u.

Cell lengths 5.1061, 5.1061, 5.1885 Å; angles 90.00, 90.00, 90.00 degrees
Closest atoms and distances in Å follow each position.
Sites, in units of the cell vectors:
Mg (0.0000, 0.0000, 0.0000)  2 P 2.59
As (0.5000, 0.5000, 0.0000)  4 Mg 3.61, 8 Br 3.64
P (0.0000, 0.0000, 0.5000)  4 Br 2.55, 2 Mg 2.59
Br (0.0000, 0.5000, 0.5000)  2 P 2.55
Br (0.5000, 0.0000, 0.5000)  2 P 2.55



3.
A plane-wave DFT calculation with PBE was carried out for a relaxed structure of Sm3Y2TmTe6.

Properties
raw formation energy: -15.916 eV/f.u.

Cell lengths 9.8508, 9.8508, 8.8567 Å; angles 103.64, 103.64, 25.59 degrees
Closest atoms and distances in Å follow each position.
Sites, in units of the cell vectors:
Sm (0.0000, 0.0000, 0.0000)  6 Te 3.12-3.16
Sm (0.3308, 0.3308, 0.6665)  6 Te 3.13-3.18
Sm (0.6692, 0.6692, 0.3335)  6 Te 3.13-3.18
Y (0.3316, 0.3316, 0.1644)  6 Te 3.06-3.12
Y (0.6684, 0.6684, 0.8356)  6 Te 3.06-3.12
Tm (0.0000, 0.0000, 0.5000)  6 Te 3.03-3.05
Te (0.1625, 0.1625, 0.5858)  1 Tm 3.03, 2 Y 3.09, 3 Sm 3.14-3.15
Te (0.1674, 0.1674, 0.0792)  3 Y 3.06-3.07, 3 Sm 3.12-3.13
Te (0.4989, 0.4989, 0.2581)  2 Tm 3.05, 1 Y 3.12, 3 Sm 3.16-3.18
Te (0.5011, 0.5011, 0.7419)  2 Tm 3.05, 1 Y 3.12, 3 Sm 3.16-3.18
Te (0.8326, 0.8326, 0.9208)  3 Y 3.06-3.07, 3 Sm 3.12-3.13
Te (0.8375, 0.8375, 0.4142)  1 Tm 3.03, 2 Y 3.09, 3 Sm 3.14-3.15



4.
A plane-wave DFT calculation with PBE was carried out for a relaxed structure of Y4Pt5.

Properties
distance to the lowest polymorph of the same formula: 147 meV/atom
energy of formation from the pure elements: -936.6 meV per atom

Cell lengths 7.0038, 7.0038, 7.0038 Å; angles 95.39, 95.39, 144.31 degrees
Closest atoms and distances in Å follow each position.
Sites, in units of the cell vectors:
Y (0.0000, 0.2923, 0.2923)  5 Pt 2.76-2.91
Y (0.0000, 0.7077, 0.7077)  5 Pt 2.76-2.91
Y (0.2923, 0.0000, 0.2923)  5 Pt 2.76-2.91
Y (0.7077, 0.0000, 0.7077)  5 Pt 2.76-2.91
Pt (0.0000, 0.0000, 0.0000)  4 Y 2.76, 8 Pt 3.09
Pt (0.3337, 0.3337, 0.6674)  6 Y 2.91-3.17, 6 Pt 3.09-3.14
Pt (0.3337, 0.6663, 0.0000)  6 Y 2.91-3.17, 6 Pt 3.09-3.14
Pt (0.6663, 0.3337, 0.0000)  6 Y 2.91-3.17, 6 Pt 3.09-3.14
Pt (0.6663, 0.6663, 0.3326)  6 Y 2.91-3.17, 6 Pt 3.09-3.14



5.
A plane-wave DFT calculation with PBE was carried out for a relaxed structure of AgMo4Au.

Properties
energy of formation from the pure elements: 496.6 meV per atom

Cell lengths 5.2538, 5.2538, 5.2538 Å; angles 60.00, 60.00, 60.00 degrees
Closest atoms and distances in Å follow each position.
Sites, in units of the cell vectors:
Ag (0.0000, 0.0000, 0.0000)  12 Mo 3.08, 4 Au 3.22
Mo (0.1231, 0.6256, 0.6256)  6 Mo 2.61-2.64
Mo (0.6256, 0.1231, 0.6256)  6 Mo 2.61-2.64
Mo (0.6256, 0.6256, 0.1231)  6 Mo 2.61-2.64
Mo (0.6256, 0.6256, 0.6256)  6 Mo 2.61-2.64
Au (0.2500, 0.2500, 0.2500)  12 Mo 3.08, 4 Ag 3.22



Here are the calculated size of the total moment numbers, same order: 0.00 2.03 0.00 0.00 0.00 (μB/f.u.).
Here are the calculated Fermi-level density of states numbers, same order: 1.33 2.78 6.46 5.84 4.53 (states/eV/f.u.).